Crystalline Pm2Sm5Er12 at its relaxed geometry. Source: Alexandria via LeMat-Bulk, functional GGA-PBE.

Lattice parameters (Å, degrees): 9.0484 9.0484 8.5918 91.86 91.86 61.62
Last column: nearest neighbours and their distance in Å.
Fractional coordinates of all 19 atoms:
Pm 0.1757 0.8243 0.0000  1 Pm 3.26, 8 Er 3.34-3.59, 2 Sm 3.59
Pm 0.8243 0.1757 0.0000  1 Pm 3.26, 8 Er 3.34-3.59, 2 Sm 3.59
Sm 0.2060 0.2060 0.0177  8 Er 3.46-3.68, 2 Pm 3.59, 1 Sm 3.62
Sm 0.2696 0.2696 0.4277  8 Er 3.37-3.60, 2 Sm 3.61-3.62
Sm 0.5000 0.5000 0.5000  10 Er 3.40-3.75, 2 Sm 3.61
Sm 0.7304 0.7304 0.5723  8 Er 3.37-3.60, 2 Sm 3.61-3.62
Sm 0.7940 0.7940 0.9823  8 Er 3.46-3.68, 2 Pm 3.59, 1 Sm 3.62
Er 0.0568 0.0568 0.3345  2 Sm 3.37-3.64, 7 Er 3.39-3.48, 2 Pm 3.39
Er 0.0602 0.6810 0.3371  4 Sm 3.38-3.75, 5 Er 3.39-3.52, 1 Pm 3.59
Er 0.1721 0.5291 0.7584  4 Er 3.31-3.69, 1 Pm 3.34, 4 Sm 3.48-3.67
Er 0.3190 0.9398 0.6629  4 Sm 3.38-3.75, 5 Er 3.39-3.52, 1 Pm 3.59
Er 0.4230 0.4230 0.1246  3 Er 3.27-3.52, 3 Sm 3.40-3.60, 2 Pm 3.42
Er 0.4709 0.8279 0.2416  4 Er 3.31-3.69, 1 Pm 3.34, 4 Sm 3.48-3.67
Er 0.5291 0.1721 0.7584  4 Er 3.31-3.69, 1 Pm 3.34, 4 Sm 3.48-3.67
Er 0.5770 0.5770 0.8754  3 Er 3.27-3.52, 3 Sm 3.40-3.60, 2 Pm 3.42
Er 0.6810 0.0602 0.3371  4 Sm 3.38-3.75, 5 Er 3.39-3.52, 1 Pm 3.59
Er 0.8279 0.4709 0.2416  4 Er 3.31-3.69, 1 Pm 3.34, 4 Sm 3.48-3.67
Er 0.9398 0.3190 0.6629  4 Sm 3.38-3.75, 5 Er 3.39-3.52, 1 Pm 3.59
Er 0.9432 0.9432 0.6655  2 Sm 3.37-3.64, 7 Er 3.39-3.48, 2 Pm 3.39

Properties
energy above the lowest structure with this stoichiometry	2.46	kcal/mol of atoms
formation energy from the elements	12.2	kJ per mole of atoms
V	32.55	A^3/atom
space group	C2/m (12)
E	-4.497	eV/atom
D(E_F)	1.31	states/eV per atom

---

Crystalline KIr at its relaxed geometry. Source: Alexandria via LeMat-Bulk, functional GGA-PBE.

Lattice parameters (Å, degrees): 4.5702 4.5702 9.7844 93.54 93.54 37.00
Last column: nearest neighbours and their distance in Å.
Fractional coordinates of all 4 atoms:
K 0.1111 0.1111 0.2757  2 K 2.90
K 0.8889 0.8889 0.7243  2 K 2.90
Ir 0.3673 0.3673 0.0300  3 Ir 2.41-2.54
Ir 0.6327 0.6327 0.9700  3 Ir 2.41-2.54

Properties
energy above the lowest structure with this stoichiometry	1.20	kcal/mol of atoms
formation energy from the elements	40.3	kJ per mole of atoms
V	30.68	A^3/atom
space group	C2/m (12)
E	-4.562	eV/atom
D(E_F)	0.71	states/eV per atom

---

Crystalline Li2Ac3Zn4 at its relaxed geometry. Source: Alexandria via LeMat-Bulk, functional GGA-PBE.

Lattice parameters (Å, degrees): 5.4736 5.4736 9.1597 98.14 98.14 58.78
Last column: nearest neighbours and their distance in Å.
Fractional coordinates of all 9 atoms:
Li 0.2275 0.2275 0.3924  2 Zn 2.63-2.66
Li 0.7725 0.7725 0.6076  2 Zn 2.63-2.66
Ac 0.1229 0.1229 0.7325  7 Zn 3.29-3.54, 4 Li 3.33-3.42
Ac 0.5000 0.5000 0.0000  8 Zn 3.26-3.45
Ac 0.8771 0.8771 0.2675  7 Zn 3.29-3.54, 4 Li 3.33-3.42
Zn 0.1856 0.1856 0.0978  1 Li 2.66
Zn 0.4375 0.4375 0.6178  1 Zn 2.63, 1 Li 2.63
Zn 0.5625 0.5625 0.3822  1 Zn 2.63, 1 Li 2.63
Zn 0.8144 0.8144 0.9022  1 Li 2.66

Properties
formation energy from the elements	-17.7	kJ per mole of atoms
V	25.73	A^3/atom
space group	C2/m (12)
E	-2.544	eV/atom
D(E_F)	0.57	states/eV per atom

---

Crystalline MnAg2Os at its relaxed geometry. Source: Alexandria via LeMat-Bulk, functional GGA-PBE.

Lattice parameters (Å, degrees): 5.7982 5.7982 5.7982 101.89 101.89 126.01
Last column: nearest neighbours and their distance in Å.
Fractional coordinates of all 8 atoms:
Mn 0.0000 0.0000 0.0000  2 Os 2.63, 4 Ag 2.64
Mn 0.7500 0.2500 0.5000  2 Os 2.63, 4 Ag 2.64
Ag 0.1198 0.6250 0.9948  2 Ag 2.63, 2 Mn 2.64, 2 Os 2.69
Ag 0.3750 0.3698 0.4948  2 Ag 2.63, 2 Mn 2.64, 2 Os 2.69
Ag 0.6302 0.1250 0.0052  2 Ag 2.63, 2 Mn 2.64, 2 Os 2.69
Ag 0.8750 0.8802 0.5052  2 Ag 2.63, 2 Mn 2.64, 2 Os 2.69
Os 0.2500 0.7500 0.5000  2 Mn 2.63, 4 Ag 2.69
Os 0.5000 0.5000 0.0000  2 Mn 2.63, 4 Ag 2.69

Properties
energy above the lowest structure with this stoichiometry	17.32	kcal/mol of atoms
formation energy from the elements	104.2	kJ per mole of atoms
V	17.56	A^3/atom
space group	I-42d (122)
E	-5.445	eV/atom
D(E_F)	0.82	states/eV per atom

---

Crystalline Rb3Na2ScCl9 at its relaxed geometry. Source: Alexandria via LeMat-Bulk, functional GGA-PBE.

Lattice parameters (Å, degrees): 7.3614 7.3614 9.5353 90.00 90.00 120.00
Last column: nearest neighbours and their distance in Å.
Fractional coordinates of all 15 atoms:
Rb 0.0000 0.0000 0.0000  12 Cl 3.68-3.89
Rb 0.3333 0.6667 0.6693  12 Cl 3.69-3.80
Rb 0.6667 0.3333 0.3307  12 Cl 3.69-3.80
Na 0.3333 0.6667 0.1792  6 Cl 2.73-2.75
Na 0.6667 0.3333 0.8208  6 Cl 2.73-2.75
Sc 0.0000 0.0000 0.5000  6 Cl 2.49
Cl 0.0000 0.5000 0.0000  2 Na 2.73
Cl 0.1591 0.3182 0.3484  1 Sc 2.49, 1 Na 2.75
Cl 0.1591 0.8409 0.3484  1 Sc 2.49, 1 Na 2.75
Cl 0.3182 0.1591 0.6516  1 Sc 2.49, 1 Na 2.75
Cl 0.5000 0.0000 0.0000  2 Na 2.73
Cl 0.5000 0.5000 0.0000  2 Na 2.73
Cl 0.6818 0.8409 0.3484  1 Sc 2.49, 1 Na 2.75
Cl 0.8409 0.1591 0.6516  1 Sc 2.49, 1 Na 2.75
Cl 0.8409 0.6818 0.6516  1 Sc 2.49, 1 Na 2.75

Properties
V	29.83	A^3/atom
space group	P-3m1 (164)
E	-3.694	eV/atom
raw formation energy	-1.79	eV/atom
D(E_F)	0.82	states/eV per atom

---

Crystalline Li5Sb2Pt at its relaxed geometry. Source: Alexandria via LeMat-Bulk, functional GGA-PBE.

Lattice parameters (Å, degrees): 4.6005 4.6005 17.8794 90.00 90.00 120.00
Last column: nearest neighbours and their distance in Å.
Fractional coordinates of all 16 atoms:
Li 0.0000 0.0000 0.1631  3 Sb 2.84, 4 Li 3.08-3.11, 3 Pt 3.08
Li 0.0000 0.0000 0.3369  3 Sb 2.84, 4 Li 3.08-3.11, 3 Pt 3.08
Li 0.0000 0.0000 0.6631  3 Sb 2.84, 4 Li 3.08-3.11, 3 Pt 3.08
Li 0.0000 0.0000 0.8369  3 Sb 2.84, 4 Li 3.08-3.11, 3 Pt 3.08
Li 0.3333 0.6667 0.0497  4 Sb 2.80-2.85
Li 0.3333 0.6667 0.2500  3 Pt 2.66
Li 0.3333 0.6667 0.4503  4 Sb 2.80-2.85
Li 0.6667 0.3333 0.5497  4 Sb 2.80-2.85
Li 0.6667 0.3333 0.7500  3 Pt 2.66
Li 0.6667 0.3333 0.9503  4 Sb 2.80-2.85
Sb 0.3333 0.6667 0.6068  1 Pt 2.56, 7 Li 2.80-2.85
Sb 0.3333 0.6667 0.8932  1 Pt 2.56, 7 Li 2.80-2.85
Sb 0.6667 0.3333 0.1068  1 Pt 2.56, 7 Li 2.80-2.85
Sb 0.6667 0.3333 0.3932  1 Pt 2.56, 7 Li 2.80-2.85
Pt 0.3333 0.6667 0.7500  2 Sb 2.56, 3 Li 2.66
Pt 0.6667 0.3333 0.2500  2 Sb 2.56, 3 Li 2.66

Properties
V	20.48	A^3/atom
space group	P6_3/mmc (194)
E	-3.515	eV/atom
raw formation energy	-0.53	eV/atom
D(E_F)	0.33	states/eV per atom

---

Q: Which value of D(E_F) does entry 3 give?
A: 0.57 states/eV per atom